No. 1
# Y2Er3Pd4

Crystalline Y2Er3Pd4 at its relaxed geometry (PBE, the Alexandria database).

Summary:
calculated volume = 423.81 Å³/cell
formation energy from the elements = -0.715 eV/atom

Cell: 6.6490 7.3871 9.2470 Å, 90.00 111.07 90.00°
Closest atoms and distances in Å follow each position.
Atoms (fractional coordinates):
Y (0.0948, 0.5857, 0.1897)  3 Pd 3.02-3.05
Y (0.9052, 0.4143, 0.8103)  3 Pd 3.02-3.05
Y (0.4052, 0.0857, 0.8103)  3 Pd 3.02-3.05
Y (0.5948, 0.9143, 0.1897)  3 Pd 3.02-3.05
Er (0.0000, 0.0000, 0.0000)  6 Pd 2.74-2.90
Er (0.5000, 0.5000, 0.0000)  6 Pd 2.74-2.90
Er (0.5178, 0.7500, 0.5355)  5 Pd 2.86-2.92
Er (0.9822, 0.2500, 0.4645)  5 Pd 2.86-2.92
Er (0.4822, 0.2500, 0.4645)  5 Pd 2.86-2.92
Er (0.0178, 0.7500, 0.5355)  5 Pd 2.86-2.92
Pd (0.6832, 0.7500, 0.8664)  3 Er 2.74-2.86, 2 Y 3.02
Pd (0.8168, 0.2500, 0.1336)  3 Er 2.74-2.86, 2 Y 3.02
Pd (0.3168, 0.2500, 0.1336)  3 Er 2.74-2.86, 2 Y 3.02
Pd (0.1832, 0.7500, 0.8664)  3 Er 2.74-2.86, 2 Y 3.02
Pd (0.1672, 0.9620, 0.3344)  5 Er 2.87-2.92, 1 Y 3.05, 2 Pd 3.21
Pd (0.8328, 0.0380, 0.6656)  5 Er 2.87-2.92, 1 Y 3.05, 2 Pd 3.21
Pd (0.3328, 0.4620, 0.6656)  5 Er 2.87-2.92, 1 Y 3.05, 2 Pd 3.21
Pd (0.6672, 0.5380, 0.3344)  5 Er 2.87-2.92, 1 Y 3.05, 2 Pd 3.21

No. 2
# ScMn2Ga2

Crystalline ScMn2Ga2 at its relaxed geometry (PBE, the Alexandria database).

Summary:
calculated volume = 81.67 Å³/cell
formation energy from the elements = -0.208 eV/atom

Cell: 3.8050 3.8050 6.2496 Å, 72.28 72.28 90.00°
Closest atoms and distances in Å follow each position.
Atoms (fractional coordinates):
Sc (0.0000, 0.0000, 0.0000)  8 Ga 2.96
Mn (0.7500, 0.2500, 0.5000)  4 Ga 2.48, 4 Mn 2.69
Mn (0.2500, 0.7500, 0.5000)  4 Ga 2.48, 4 Mn 2.69
Ga (0.3907, 0.3907, 0.2186)  1 Ga 2.47, 4 Mn 2.48
Ga (0.6093, 0.6093, 0.7814)  1 Ga 2.47, 4 Mn 2.48

No. 3
# Pr3Y2Tm6

Crystalline Pr3Y2Tm6 at its relaxed geometry (PBE, the Alexandria database).

Summary:
calculated volume = 375.19 Å³/cell
formation energy from the elements = 0.210 eV/atom

Cell: 6.1622 6.1705 11.5750 Å, 84.88 79.70 60.04°
Closest atoms and distances in Å follow each position.
Atoms (fractional coordinates):
Pr (0.0000, 0.0000, 0.0000)  6 Tm 3.55, 6 Pr 3.55-3.59
Pr (0.3354, 0.3292, 0.0000)  6 Pr 3.52-3.59, 6 Tm 3.53-3.56
Pr (0.6646, 0.6708, 0.0000)  6 Pr 3.52-3.59, 6 Tm 3.53-3.56
Y (0.1662, 0.6677, 0.5000)  6 Tm 3.48, 3 Y 3.55-3.56
Y (0.8338, 0.3323, 0.5000)  6 Tm 3.48, 3 Y 3.55-3.56
Tm (0.4180, 0.6670, 0.7461)  2 Y 3.48, 3 Pr 3.55-3.56, 6 Tm 3.55-3.57
Tm (0.7507, 0.0000, 0.7465)  2 Y 3.48, 3 Pr 3.53-3.55, 6 Tm 3.55-3.57
Tm (0.0851, 0.3330, 0.7461)  2 Y 3.48, 3 Pr 3.55-3.56, 6 Tm 3.55-3.57
Tm (0.2493, 0.0000, 0.2535)  2 Y 3.48, 3 Pr 3.53-3.55, 6 Tm 3.55-3.57
Tm (0.5820, 0.3330, 0.2539)  2 Y 3.48, 3 Pr 3.55-3.56, 6 Tm 3.55-3.57
Tm (0.9149, 0.6670, 0.2539)  2 Y 3.48, 3 Pr 3.55-3.56, 6 Tm 3.55-3.57

No. 4
# NdThGaOs

Crystalline NdThGaOs at its relaxed geometry (PBE, the Alexandria database).

Summary:
calculated volume = 98.59 Å³/cell
formation energy from the elements = -0.438 eV/atom

Cell: 4.2221 3.9351 6.2981 Å, 90.00 109.58 90.00°
Closest atoms and distances in Å follow each position.
Atoms (fractional coordinates):
Nd (0.1484, 0.0000, 0.2968)  4 Ga 3.05, 1 Os 3.16
Th (0.8714, 0.5000, 0.7429)  4 Os 2.93, 2 Ga 3.13
Ga (0.5659, 0.5000, 0.1318)  2 Os 2.67
Os (0.4143, 0.0000, 0.8286)  2 Ga 2.67, 4 Th 2.93

No. 5
# SrCrPt2

Crystalline SrCrPt2 at its relaxed geometry (PBE, the Alexandria database).

Summary:
calculated volume = 80.36 Å³/cell
formation energy from the elements = -0.060 eV/atom

Cell: 5.8715 5.8715 5.8715 Å, 147.98 130.94 59.79°
Closest atoms and distances in Å follow each position.
Atoms (fractional coordinates):
Cr (0.2133, 0.7133, 0.5000)  2 Pt 2.66
Pt (0.0057, 0.0057, 0.0000)  2 Cr 2.66, 2 Pt 2.84, 4 Sr 2.93
Pt (0.7769, 0.2769, 0.5000)  2 Pt 2.84, 4 Cr 3.00
Sr (0.5041, 0.5041, 0.0000)  6 Pt 2.93-3.21, 2 Cr 3.24, 2 Sr 3.24

No. 6
# Ag6SbF12

Crystalline Ag6SbF12 at its relaxed geometry (PBE, the Alexandria database).

Summary:
calculated volume = 321.68 Å³/cell
formation energy (no corrections) = -1.4528 eV/atom

Cell: 6.9240 6.9240 6.9240 Å, 97.84 97.84 97.84°
Closest atoms and distances in Å follow each position.
Atoms (fractional coordinates):
Ag (0.6676, 0.8488, 0.3987)  4 F 2.25-2.51
Ag (0.6013, 0.3324, 0.1512)  4 F 2.25-2.51
Ag (0.1512, 0.6013, 0.3324)  4 F 2.25-2.51
Ag (0.3324, 0.1512, 0.6013)  4 F 2.25-2.51
Ag (0.3987, 0.6676, 0.8488)  4 F 2.25-2.51
Ag (0.8488, 0.3987, 0.6676)  4 F 2.25-2.51
Sb (0.0000, 0.0000, 0.0000)  6 F 1.93
F (0.8361, 0.5929, 0.3901)  4 Ag 2.25-2.51
F (0.3901, 0.8361, 0.5929)  4 Ag 2.25-2.51
F (0.5929, 0.3901, 0.8361)  4 Ag 2.25-2.51
F (0.1639, 0.4071, 0.6099)  4 Ag 2.25-2.51
F (0.6099, 0.1639, 0.4071)  4 Ag 2.25-2.51
F (0.4071, 0.6099, 0.1639)  4 Ag 2.25-2.51
F (0.0550, 0.9918, 0.2792)  1 Sb 1.93
F (0.0082, 0.7208, 0.9450)  1 Sb 1.93
F (0.7208, 0.9450, 0.0082)  1 Sb 1.93
F (0.9450, 0.0082, 0.7208)  1 Sb 1.93
F (0.9918, 0.2792, 0.0550)  1 Sb 1.93
F (0.2792, 0.0550, 0.9918)  1 Sb 1.93

No. 7
# Be3Br

Crystalline Be3Br at its relaxed geometry (PBE, the Alexandria database).

Summary:
calculated volume = 65.76 Å³/cell
formation energy (no corrections) = 0.9538 eV/atom

Cell: 6.9179 6.9179 6.9179 Å, 153.51 153.51 37.81°
Closest atoms and distances in Å follow each position.
Atoms (fractional coordinates):
Be (0.2500, 0.7500, 0.5000)  4 Be 2.24
Be (0.5000, 0.5000, 0.0000)  4 Br 2.24
Be (0.7500, 0.2500, 0.5000)  4 Be 2.24
Br (0.0000, 0.0000, 0.0000)  4 Be 2.24

No. 8
# CaAs3Pd5

Crystalline CaAs3Pd5 at its relaxed geometry (PBE, the Alexandria database).

Summary:
calculated volume = 336.04 Å³/cell
formation energy from the elements = -0.543 eV/atom

Cell: 3.9184 6.9052 12.9519 Å, 90.00 90.00 106.48°
Closest atoms and distances in Å follow each position.
Atoms (fractional coordinates):
Ca (0.8619, 0.7238, 0.7500)  5 As 3.31-3.45, 8 Pd 3.45-3.65
Ca (0.1381, 0.2762, 0.2500)  5 As 3.31-3.45, 8 Pd 3.45-3.65
As (0.3830, 0.7660, 0.9550)  5 Pd 2.40-2.62
As (0.8773, 0.7545, 0.2500)  6 Pd 2.51-2.56
As (0.3830, 0.7660, 0.5450)  5 Pd 2.40-2.62
As (0.6170, 0.2340, 0.4550)  5 Pd 2.40-2.62
As (0.1227, 0.2455, 0.7500)  6 Pd 2.51-2.56
As (0.6170, 0.2340, 0.0450)  5 Pd 2.40-2.62
Pd (0.7955, 0.5910, 0.4245)  2 As 2.40-2.51
Pd (0.2045, 0.4090, 0.9245)  2 As 2.40-2.51
Pd (0.0000, 0.0000, 0.5000)  4 As 2.57, 4 Pd 2.80
Pd (0.0000, 0.0000, 0.0000)  4 As 2.57, 4 Pd 2.80
Pd (0.4490, 0.8980, 0.1458)  4 As 2.56-2.62, 3 Pd 2.70-2.80
Pd (0.5510, 0.1020, 0.8542)  4 As 2.56-2.62, 3 Pd 2.70-2.80
Pd (0.5510, 0.1020, 0.6458)  4 As 2.56-2.62, 3 Pd 2.70-2.80
Pd (0.7955, 0.5910, 0.0755)  2 As 2.40-2.51
Pd (0.2045, 0.4090, 0.5755)  2 As 2.40-2.51
Pd (0.4490, 0.8980, 0.3542)  4 As 2.56-2.62, 3 Pd 2.70-2.80

No. 9
# LaIn2P

Crystalline LaIn2P at its relaxed geometry (PBE, the Alexandria database).

Summary:
calculated volume = 102.39 Å³/cell
formation energy from the elements = -0.437 eV/atom

Cell: 5.8603 5.8603 5.8603 Å, 137.22 130.39 67.54°
Closest atoms and distances in Å follow each position.
Atoms (fractional coordinates):
In (0.0437, 0.0437, 0.0000)  2 P 2.83, 2 In 3.16
In (0.7480, 0.2480, 0.5000)  2 In 3.16, 4 P 3.26, 4 La 3.30-3.42
La (0.4734, 0.4734, 0.0000)  2 P 3.16, 8 In 3.30-3.42
P (0.2348, 0.7348, 0.5000)  2 In 2.83, 2 La 3.16

No. 10
# Sm3Th4Se8

Crystalline Sm3Th4Se8 at its relaxed geometry (PBE, the Alexandria database).

Summary:
calculated volume = 409.82 Å³/cell
formation energy (no corrections) = -1.7017 eV/atom

Cell: 8.3106 8.3317 8.3317 Å, 90.07 119.83 119.83°
Closest atoms and distances in Å follow each position.
Atoms (fractional coordinates):
Sm (0.5000, 0.5000, 0.0000)  6 Se 2.94-2.95
Sm (0.5000, 0.0000, 0.5000)  6 Se 2.94-2.95
Sm (0.5000, 0.5000, 0.5000)  6 Se 2.93-2.94
Th (0.5000, 0.0000, 0.0000)  6 Se 2.95-2.97
Th (0.0000, 0.5000, 0.0000)  6 Se 2.95
Th (0.0000, 0.0000, 0.0000)  6 Se 3.03-3.06
Th (0.0000, 0.0000, 0.5000)  6 Se 2.95
Se (0.5135, 0.2573, 0.2573)  3 Sm 2.94-2.95, 2 Th 2.95-3.03
Se (0.0000, 0.7420, 0.2580)  3 Th 2.95-3.04, 2 Sm 2.95
Se (0.0032, 0.2614, 0.2614)  1 Sm 2.93, 4 Th 2.95-3.06
Se (0.5000, 0.7481, 0.2519)  3 Sm 2.93-2.94, 3 Th 2.95-2.97
Se (0.5000, 0.2519, 0.7481)  3 Sm 2.93-2.94, 3 Th 2.95-2.97
Se (0.9968, 0.7386, 0.7386)  1 Sm 2.93, 4 Th 2.95-3.06
Se (0.0000, 0.2580, 0.7420)  3 Th 2.95-3.04, 2 Sm 2.95
Se (0.4865, 0.7427, 0.7427)  3 Sm 2.94-2.95, 2 Th 2.95-3.03

No. 11
# PaReOs

Crystalline PaReOs at its relaxed geometry (PBE, the Alexandria database).

Summary:
calculated volume = 62.44 Å³/cell
formation energy from the elements = 0.101 eV/atom

Cell: 4.2579 4.1150 4.1150 Å, 120.00 90.00 90.00°
Closest atoms and distances in Å follow each position.
Atoms (fractional coordinates):
Re (0.2385, 0.6667, 0.3333)  3 Os 2.45
Pa (0.6673, 0.3333, 0.6667)  3 Os 2.99, 3 Re 3.00
Os (0.0942, 0.0000, 0.0000)  3 Re 2.45

No. 12
# Pa2AgTe6

Crystalline Pa2AgTe6 at its relaxed geometry (PBE, the Alexandria database).

Summary:
calculated volume = 539.15 Å³/cell
formation energy (no corrections) = -0.5981 eV/atom

Cell: 7.1086 7.8882 9.6215 Å, 90.00 87.88 90.00°
Closest atoms and distances in Å follow each position.
Atoms (fractional coordinates):
Pa (0.9490, 0.3563, 0.7466)  7 Te 2.96-3.29
Pa (0.5510, 0.8563, 0.7534)  7 Te 2.96-3.29
Pa (0.4490, 0.1437, 0.2466)  7 Te 2.96-3.29
Pa (0.0510, 0.6437, 0.2534)  7 Te 2.96-3.29
Ag (0.5000, 0.5000, 0.0000)  6 Te 2.87-3.01
Ag (0.0000, 0.0000, 0.5000)  6 Te 2.87-3.01
Te (0.8195, 0.9553, 0.2405)  1 Ag 2.87, 2 Pa 2.96-3.02
Te (0.8283, 0.6570, 0.5596)  1 Ag 3.01, 3 Pa 3.09-3.29
Te (0.8501, 0.6737, 0.9338)  1 Ag 2.89, 2 Pa 3.14-3.15
Te (0.6499, 0.1737, 0.5662)  1 Ag 2.89, 2 Pa 3.14-3.15
Te (0.6717, 0.1570, 0.9404)  1 Ag 3.01, 3 Pa 3.09-3.29
Te (0.6805, 0.4553, 0.2595)  1 Ag 2.87, 2 Pa 2.96-3.02
Te (0.1805, 0.0447, 0.7595)  1 Ag 2.87, 2 Pa 2.96-3.02
Te (0.1717, 0.3430, 0.4404)  1 Ag 3.01, 3 Pa 3.09-3.29
Te (0.1499, 0.3263, 0.0662)  1 Ag 2.89, 2 Pa 3.14-3.15
Te (0.3501, 0.8263, 0.4338)  1 Ag 2.89, 2 Pa 3.14-3.15
Te (0.3283, 0.8430, 0.0596)  1 Ag 3.01, 3 Pa 3.09-3.29
Te (0.3195, 0.5447, 0.7405)  1 Ag 2.87, 2 Pa 2.96-3.02

> What is the calculated volume in the eighth record?

336.04 Å³/cell

> Look up the calculated volume of the first one.

423.81 Å³/cell